# Tm3Zn3Ni2Ir

A relaxed Tm3Zn3Ni2Ir crystal (GGA-PBE, the Open Quantum Materials Database).

Results
Calculated total energy ... -42.017 eV for the cell shown
Calculated density ... 10.4 g/cm3
Crystal system ... hexagonal
ΔH_f (0 K) ... -0.53 eV per atom
Space group ... P-62m, No. 189

abc: 6.9551 6.9551 3.8647
angles: 90.00 90.00 120.00
With the nearest neighbours (Å) after each atom.
Sites, in units of the cell vectors:
Ir: 0.0000 0.0000 0.5000  6 Zn 2.62, 3 Tm 2.84
Ni: 0.6667 0.3333 0.0000  3 Zn 2.63, 6 Tm 2.86
Ni: 0.3333 0.6667 0.0000  3 Zn 2.63, 6 Tm 2.86
Tm: 0.4085 0.0000 0.5000  1 Ir 2.84, 4 Ni 2.86, 6 Zn 3.04-3.15
Tm: 0.0000 0.4085 0.5000  1 Ir 2.84, 4 Ni 2.86, 6 Zn 3.04-3.15
Tm: 0.5915 0.5915 0.5000  1 Ir 2.84, 4 Ni 2.86, 6 Zn 3.04-3.15
Zn: 0.7453 0.0000 0.0000  2 Ir 2.62, 2 Ni 2.63
Zn: 0.2547 0.2547 0.0000  2 Ir 2.62, 2 Ni 2.63
Zn: 0.0000 0.7453 0.0000  2 Ir 2.62, 2 Ni 2.63